The following is a PBE+U calculation of a relaxed structure of Er2VF8, from the Alexandria database.

Results
DFT total energy   -6.53 eV/atom
Space-group type   C2/m, No. 12
Volume   155 Å³ per cell

a b c (Å): 8.076 8.076 5.791
angles (deg): 90.17 90.17 24.19
Atoms (fractional coordinates):
Er: 0.157 0.157 0.342
Er: 0.843 0.843 0.658
V: 0.500 0.500 0.000
F: 0.020 0.020 0.221
F: 0.241 0.241 0.668
F: 0.366 0.366 0.930
F: 0.392 0.392 0.469
F: 0.608 0.608 0.531
F: 0.634 0.634 0.070
F: 0.759 0.759 0.332
F: 0.980 0.980 0.779